(1)
# Pm3Dy4Pd4

Pm3Dy4Pd4 after structural relaxation (PBE, Alexandria via LeMat-Bulk).

```
11
Lattice="-2.386 3.804 7.784 2.386 -3.804 7.784 2.386 3.804 -7.784" Properties=species:S:1:pos:R:3 pbc="T T T"
Pm 0.000 0.000 0.000
Pm 2.386 0.000 6.191
Pm 0.000 3.804 1.593
Dy 2.386 1.650 -2.679
Dy 2.386 1.650 2.679
Dy 0.000 2.154 5.105
Dy 0.000 2.154 10.463
Pd 0.000 0.000 3.179
Pd 2.386 2.395 0.000
Pd 0.000 1.410 7.784
Pd 0.000 0.000 12.390
```

- E: -5.425 eV/atom
- SG: Immm (71)


(2)
# SrCu4Sb

SrCu4Sb after structural relaxation (PBE, Alexandria via LeMat-Bulk).

```
6
Lattice="0.000 3.757 3.757 3.757 0.000 3.757 3.757 3.757 0.000" Properties=species:S:1:pos:R:3 pbc="T T T"
Sr 0.000 0.000 0.000
Cu 4.693 2.821 2.821
Cu 2.821 4.693 2.821
Cu 2.821 2.821 4.693
Cu 4.693 4.693 4.693
Sb 1.878 1.878 1.878
```

- Formation energy (no corrections): -0.07 eV/atom
- SG: F-43m (216)


(3)
# KCuNO2

KCuNO2 after structural relaxation (PBE, Alexandria via LeMat-Bulk).

```
5
Lattice="4.712 0.000 0.000 0.000 4.712 0.000 0.000 0.000 4.960" Properties=species:S:1:pos:R:3 pbc="T T T"
K 0.000 0.000 0.000
Cu 2.356 2.356 2.480
N 0.000 0.000 2.480
O 0.000 2.356 0.000
O 2.356 0.000 0.000
```

- Formation energy (no corrections): 1.80 eV/atom
- SG: P4/mmm (123)


(4)
# Nd5YHo5

Nd5YHo5 after structural relaxation (PBE, Alexandria via LeMat-Bulk).

```
11
Lattice="6.127 0.000 0.000 -3.063 5.306 0.000 0.000 0.000 11.770" Properties=species:S:1:pos:R:3 pbc="T T T"
Nd 0.000 0.000 0.000
Nd 0.000 3.537 3.718
Nd 0.000 3.537 8.051
Nd 3.063 1.769 1.813
Nd 3.063 1.769 9.957
Y 0.000 3.537 0.000
Ho 0.000 0.000 3.127
Ho 0.000 0.000 8.642
Ho 1.532 0.884 5.885
Ho 4.595 0.884 5.885
Ho 3.063 3.537 5.885
```

- E: -4.550 eV/atom
- SG: P-6m2 (187)


Total magnetization (computed, μB per formula unit): 0.00 0.00 5.00 0.00
Theoretical density (computed, Mg/m³): 8.9 7.3 2.2 7.1